Record 1
Computed, not measured: a geometry-optimized Co2Te2Se structure at the GGA-PBE level of DFT.

Cell: 6.575 6.575 6.107 Å, 97.48 97.48 124.55°
Atoms (fractional coordinates):
Se1 0.044 0.956 0.750
Se2 0.956 0.044 0.250
Te1 0.443 0.556 0.750
Te2 0.745 0.256 0.750
Te3 0.255 0.744 0.250
Te4 0.557 0.444 0.250
Co1 0.677 0.864 0.493
Co2 0.864 0.677 0.993
Co3 0.136 0.323 0.007
Co4 0.323 0.136 0.507

Total energy   -4.839 eV per atom
DOS(E_F)   4.05 states/eV/f.u.
Space group   C2/c
Size of the total moment   0.00 μB/cell
Crystal system   monoclinic
Formation energy from raw total energies   -21 kJ/mol of formula units

---

Record 2
Computed, not measured: a geometry-optimized Cd2InRu structure at the GGA-PBE level of DFT.

Cell: 5.298 5.298 5.298 Å, 134.06 134.06 67.00°
Each line ends with the local moment (μB).
Atoms (fractional coordinates):
Ru1 0.750 0.250 0.500  0.11
Cd1 0.250 0.750 0.500  0.00
Cd2 0.000 0.000 0.000  0.00
In1 0.500 0.500 0.000  0.00

Total energy   -3.300 eV per atom
Offset from the most stable computed form   0.30 eV per formula unit
DOS(E_F)   2.86 states/eV/f.u.
Space group   I-4m2
Size of the total moment   0.11 μB/cell
Calculated formation energy   161 meV/atom
Crystal system   tetragonal